A relaxed TbEuTe2 crystal. Source: Alexandria, functional PBE.

abc: 3.872 3.872 7.825
angles: 90.00 90.00 90.00
Sites, in units of the cell vectors:
Te 0.000 0.000 0.735
Tb 0.500 0.500 0.500
Te 0.000 0.000 0.265
Eu 0.500 0.500 0.000

- Energy relative to the elements, uncorrected: -1.307 eV/atom
- Excess energy over the best structure of this formula in the dataset: 199 meV/atom
- E: -26.4 eV/cell
- ρ: 8.01 g/cm3

A relaxed MgBe2IrN crystal. Source: Alexandria, functional PBE.

abc: 4.287 4.454 4.287
angles: 90.00 90.00 90.00
Sites, in units of the cell vectors:
N 0.500 0.500 0.500
Be 0.000 0.000 0.500
Mg 0.000 0.000 0.000
Ir 0.000 0.500 0.000
Be 0.500 0.000 0.000

- Energy relative to the elements, uncorrected: 2.565 eV/atom
- E: -13.4 eV/cell
- ρ: 5.04 g/cm3

A relaxed ReAgCl2 crystal. Source: Alexandria, functional PBE.

abc: 11.453 11.453 11.453
angles: 14.79 14.79 14.79
Sites, in units of the cell vectors:
Re 0.000 0.000 0.000
Cl 0.935 0.935 0.935
Cl 0.065 0.065 0.065
Ag 0.500 0.500 0.500

- Energy relative to the elements, uncorrected: 0.218 eV/atom
- Excess energy over the best structure of this formula in the dataset: 35 meV/atom
- E: -18.1 eV/cell
- ρ: 7.11 g/cm3

A relaxed Ta3CrRu crystal. Source: Alexandria, functional PBE.

abc: 4.531 4.531 4.531
angles: 90.00 90.00 90.00
Sites, in units of the cell vectors:
Ta 0.500 0.000 0.000
Ta 0.000 0.000 0.500
Ru 0.500 0.500 0.500
Cr 0.000 0.000 0.000
Ta 0.000 0.500 0.000

- Excess energy over the best structure of this formula in the dataset: 0 meV/atom
- Energy of formation from the pure elements: 1.116 eV per atom
- E: -48.9 eV/cell
- ρ: 12.42 g/cm3

A relaxed Nd3DyTe4 crystal. Source: Alexandria, functional PBE.

abc: 4.404 7.766 7.766
angles: 108.79 90.00 90.00
Sites, in units of the cell vectors:
Nd 0.000 0.000 0.500
Dy 0.500 0.000 0.000
Nd 0.500 0.500 0.500
Te 0.000 0.242 0.242
Te 0.500 0.246 0.754
Te 0.500 0.754 0.246
Nd 0.000 0.500 0.000
Te 0.000 0.758 0.758

- Energy relative to the elements, uncorrected: -1.385 eV/atom
- Excess energy over the best structure of this formula in the dataset: 0 meV/atom
- E: -42.5 eV/cell
- ρ: 7.30 g/cm3

A relaxed ZnIr2Pb crystal. Source: Alexandria, functional PBE.

abc: 8.735 8.735 8.735
angles: 20.11 20.11 20.11
Sites, in units of the cell vectors:
Zn 0.750 0.750 0.750
Pb 0.250 0.250 0.250
Ir 0.493 0.493 0.493
Ir 0.007 0.007 0.007

- Excess energy over the best structure of this formula in the dataset: 183 meV/atom
- Energy of formation from the pure elements: 0.398 eV per atom
- E: -21.1 eV/cell
- ρ: 15.83 g/cm3

A relaxed LiDyEr2Hg4 crystal. Source: Alexandria, functional PBE.

abc: 5.117 5.117 8.989
angles: 73.46 73.46 60.00
Sites, in units of the cell vectors:
Er 0.245 0.245 0.264
Li 0.500 0.500 0.500
Hg 0.621 0.621 0.136
Er 0.755 0.755 0.736
Hg 0.126 0.126 0.623
Hg 0.379 0.379 0.864
Dy 0.000 0.000 0.000
Hg 0.874 0.874 0.377

- Energy of formation from the pure elements: -0.451 eV per atom
- E: -20.5 eV/cell
- ρ: 11.27 g/cm3

A relaxed LiZrFe2 crystal. Source: Alexandria, functional PBE.

abc: 3.188 3.227 6.428
angles: 59.87 90.00 90.00
Sites, in units of the cell vectors:
Fe 0.000 0.533 0.467
Zr 0.500 0.750 0.750
Li 0.500 0.250 0.250
Fe 0.000 0.967 0.033

- Energy of formation from the pure elements: 0.189 eV per atom
- E: -26.6 eV/cell
- ρ: 6.09 g/cm3

> Which of these has the lowest ρ?

MgBe2IrN

> Look up the E of the fourth one.

-48.9 eV/cell

> The lowest ρ belongs to which entry?

MgBe2IrN